Entry 1:
Below is a relaxed KV3H crystal, with properties calculated at the GGA-PBE level.

The space group is Pm-3m (No. 221) and the conventional cell measures 4.263, 4.263 and 4.263 Å, with angles of 90.00, 90.00 and 90.00 degrees. Symmetry generates all atoms from K at (0.000, 0.000, 0.000), V at (0.000, 0.000, 0.500) and H at (0.500, 0.500, 0.500).

The spin magnetization comes out at 0.0 Bohr magnetons per cell. The energy relative to the lowest polymorph listed for this composition is 1891 meV per atom.

=====

Entry 2:
Below is a relaxed Ho5MgSc4 crystal, with properties calculated at the GGA-PBE level.

The space group is P4/mmm (No. 123) and the conventional cell measures 3.457, 3.457 and 23.065 Å, with angles of 90.00, 90.00 and 90.00 degrees. Symmetry generates all atoms from Ho at (0.000, 0.000, 0.000), Ho at (0.000, 0.000, 0.201), Ho at (0.000, 0.000, 0.401), Mg at (0.500, 0.500, 0.500), Sc at (0.500, 0.500, 0.101) and Sc at (0.500, 0.500, 0.302).

The spin magnetization comes out at 0.0 Bohr magnetons per cell. The value obtained for the formation enthalpy at 0 K is 26 meV per atom.

=====

Entry 3:
Below is a relaxed NdScBeAg crystal, with properties calculated at the GGA-PBE level.

The space group is F-43m (No. 216) and the conventional cell measures 7.028, 7.028 and 7.028 Å, with angles of 90.00, 90.00 and 90.00 degrees. Symmetry generates all atoms from Nd at (0.000, 0.000, 0.000), Sc at (0.000, 0.000, 0.500), Be at (0.250, 0.250, 0.750) and Ag at (0.250, 0.250, 0.250).

The spin magnetization comes out at 0.0 Bohr magnetons per cell. The value obtained for the formation enthalpy at 0 K is 8 meV per atom.

=====

Entry 4:
Below is a relaxed LaCoC crystal, with properties calculated at the GGA-PBE level.

The space group is P-6m2 (No. 187) and the conventional cell measures 3.4695, 3.4695 and 4.3223 Å, with angles of 90.00, 90.00 and 120.00 degrees. Symmetry generates all atoms from La at (0.0000, 0.0000, 0.0000), Co at (0.6667, 0.3333, 0.5000) and C at (0.3333, 0.6667, 0.5000).

The spin magnetization comes out at 0.0 Bohr magnetons per cell. The energy relative to the lowest polymorph listed for this composition is 269 meV per atom. The value obtained for the formation enthalpy at 0 K is 55 meV per atom.

=====

Entry 5:
Below is a relaxed Tl5B2O5 crystal, with properties calculated at the GGA-PBE level.

The space group is C2/m (No. 12) and the conventional cell measures 13.431, 2.846 and 11.737 Å, with angles of 90.00, 99.70 and 90.00 degrees. Symmetry generates all atoms from Tl at (0.000, 0.000, 0.000), Tl at (0.138, 0.000, 0.546), Tl at (0.207, 0.000, 0.835), B at (0.042, 0.500, 0.277), O at (0.000, 0.500, 0.500), O at (0.044, 0.500, 0.799) and O at (0.090, 0.000, 0.309).

The spin magnetization comes out at 0.0 Bohr magnetons per cell. For the formation energy without anion corrections, the calculation gives -903 meV/atom.

=====

Entry 6:
Below is a relaxed TbDySeN crystal, with properties calculated at the GGA-PBE level.

The space group is R3m (No. 160, hexagonal axes) and the conventional cell measures 3.6791, 3.6791 and 19.5937 Å, with angles of 90.00, 90.00 and 120.00 degrees. Symmetry generates all atoms from Tb at (0.0000, 0.0000, 0.0000), Dy at (0.0000, 0.0000, 0.4659), Se at (0.0000, 0.0000, 0.2325) and N at (0.0000, 0.0000, 0.7339).

The spin magnetization comes out at 0.0 Bohr magnetons per cell. For the formation energy without anion corrections, the calculation gives -1710 meV/atom.

=====

> Look up the spin magnetization of the first one.

0.0 Bohr magnetons per cell

=====

> What is the spin magnetization in the fourth record?

0.0 Bohr magnetons per cell

=====

> Look up the spin magnetization of the sixth one.

0.0 Bohr magnetons per cell